# 1
Crystalline CrInFe4 at its relaxed geometry. Source: the Alexandria database, functional PBE-GGA.

## Properties
The total energy comes out at -44.83 eV for the cell shown. The calculation puts the formation energy at 5.3 kcal/mol of atoms. The density comes out at 8.4 g/cm3.

abc: 4.782 4.782 4.782
angles: 60.00 60.00 60.00
Fractional coordinates of all 6 atoms:
Cr  0.000  0.000  0.000
In  0.750  0.750  0.750
Fe  0.877  0.374  0.374
Fe  0.374  0.374  0.877
Fe  0.374  0.877  0.374
Fe  0.374  0.374  0.374

***

# 2
Crystalline CrIn4Fe at its relaxed geometry. Source: the Alexandria database, functional PBE-GGA.

## Properties
The total energy comes out at -24.45 eV for the cell shown. The calculation puts the formation energy at 17.6 kcal/mol of atoms. The density comes out at 6.8 g/cm3.

abc: 5.810 5.810 5.810
angles: 60.00 60.00 60.00
Fractional coordinates of all 6 atoms:
Cr  0.750  0.750  0.750
In  0.875  0.375  0.375
In  0.375  0.375  0.875
In  0.375  0.875  0.375
In  0.375  0.375  0.375
Fe  0.000  0.000  0.000

***

# 3
Crystalline Cr2InFe at its relaxed geometry. Source: the Alexandria database, functional PBE-GGA.

## Properties
The total energy comes out at -28.51 eV for the cell shown. The calculation puts the formation energy at 11.2 kcal/mol of atoms. The density comes out at 7.9 g/cm3.

abc: 8.232 8.232 8.232
angles: 20.15 20.15 20.15
Fractional coordinates of all 4 atoms:
Cr  0.985  0.985  0.985
Cr  0.253  0.253  0.253
Fe  0.511  0.511  0.511
In  0.751  0.751  0.751